Record 1
Crystalline VFeSb2 at its relaxed geometry. Source: Alexandria via LeMat-Bulk, functional PBE-GGA.

Results
ΔE_f (raw), eV per atom: 0.317
Total magnetic moment, Bohr magnetons per cell: 0.6

Cell: 4.6056 4.6056 4.6056 Å, 60.00 60.00 60.00°
Each line ends with the local moment (μB).
Fractional coordinates of all 4 atoms:
Sb1 0.2500 0.2500 0.2500  -0.01
Sb2 0.7500 0.7500 0.7500  -0.01
Fe1 0.5000 0.5000 0.5000  1.60
V1 0.0000 0.0000 0.0000  -0.75

***

Record 2
Crystalline VFe2Sb at its relaxed geometry. Source: Alexandria via LeMat-Bulk, functional PBE-GGA.

Results
ΔE_f (raw), eV per atom: 0.018
Total magnetic moment, Bohr magnetons per cell: 1.8

Cell: 4.2379 4.2379 4.2379 Å, 60.00 60.00 60.00°
Each line ends with the local moment (μB).
Fractional coordinates of all 4 atoms:
Sb1 0.5000 0.5000 0.5000  -0.02
Fe1 0.2500 0.2500 0.2500  1.22
Fe2 0.7500 0.7500 0.7500  1.22
V1 0.0000 0.0000 0.0000  -0.52

***

Record 3
Crystalline VFe3Sb at its relaxed geometry. Source: Alexandria via LeMat-Bulk, functional PBE-GGA.

Results
ΔE_f (raw), eV per atom: 1.565
Total magnetic moment, Bohr magnetons per cell: 10.0

Cell: 4.6738 4.6738 4.6738 Å, 90.00 90.00 90.00°
Each line ends with the local moment (μB).
Fractional coordinates of all 5 atoms:
Sb1 0.0000 0.0000 0.0000  -0.11
Fe1 0.0000 0.5000 0.0000  2.51
Fe2 0.0000 0.0000 0.5000  2.51
Fe3 0.5000 0.0000 0.0000  2.51
V1 0.5000 0.5000 0.5000  2.38

***

Record 4
Crystalline VFeSb2 at its relaxed geometry. Source: Alexandria via LeMat-Bulk, functional PBE-GGA.

Results
ΔE_f (raw), eV per atom: 0.430
Total magnetic moment, Bohr magnetons per cell: 2.7

Cell: 3.2407 3.2407 9.2691 Å, 79.93 79.93 60.00°
Each line ends with the local moment (μB).
Fractional coordinates of all 4 atoms:
Sb1 0.0949 0.0949 0.7153  -0.02
Sb2 0.9051 0.9051 0.2847  -0.02
Fe1 0.0000 0.0000 0.0000  2.90
V1 0.5000 0.5000 0.5000  -0.09

***

Record 5
Crystalline V2FeSb at its relaxed geometry. Source: Alexandria via LeMat-Bulk, functional PBE-GGA.

Results
ΔE_f (raw), eV per atom: 0.080
Total magnetic moment, Bohr magnetons per cell: 0.7

Cell: 4.3840 4.3840 4.3840 Å, 60.00 60.00 60.00°
Each line ends with the local moment (μB).
Fractional coordinates of all 4 atoms:
Sb1 0.5000 0.5000 0.5000  0.05
Fe1 0.0000 0.0000 0.0000  2.46
V1 0.2500 0.2500 0.2500  -0.78
V2 0.7500 0.7500 0.7500  -0.78

***

Record 6
Crystalline VFe2Sb at its relaxed geometry. Source: Alexandria via LeMat-Bulk, functional PBE-GGA.

Results
ΔE_f (raw), eV per atom: 0.463
Total magnetic moment, Bohr magnetons per cell: 5.8

Cell: 3.8407 3.8407 9.1739 Å, 77.92 77.92 90.00°
Each line ends with the local moment (μB).
Fractional coordinates of all 8 atoms:
Sb1 0.0000 0.0000 0.0000  0.01
Sb2 0.7500 0.2500 0.5000  0.01
Fe1 0.6038 0.1250 0.2500  2.29
Fe2 0.1462 0.6250 0.2500  2.29
Fe3 0.3750 0.3962 0.7500  2.29
Fe4 0.8750 0.8538 0.7500  2.29
V1 0.5000 0.5000 0.0000  -1.52
V2 0.2500 0.7500 0.5000  -1.52

***

Record 7
Crystalline VFeSb2 at its relaxed geometry. Source: Alexandria via LeMat-Bulk, functional PBE-GGA.

Results
ΔE_f (raw), eV per atom: 0.521
Total magnetic moment, Bohr magnetons per cell: 9.9

Cell: 7.3135 7.3135 6.0232 Å, 52.62 52.62 90.00°
Each line ends with the local moment (μB).
Fractional coordinates of all 8 atoms:
Sb1 0.6450 0.1250 0.2500  -0.05
Sb2 0.1050 0.6250 0.2500  -0.05
Sb3 0.3750 0.3550 0.7500  -0.05
Sb4 0.8750 0.8950 0.7500  -0.05
Fe1 0.0000 0.0000 0.0000  2.38
Fe2 0.7500 0.2500 0.5000  2.38
V1 0.5000 0.5000 0.0000  2.28
V2 0.2500 0.7500 0.5000  2.28

***

Record 8
Crystalline VFe2Sb at its relaxed geometry. Source: Alexandria via LeMat-Bulk, functional PBE-GGA.

Results
ΔE_f (raw), eV per atom: 0.079
Total magnetic moment, Bohr magnetons per cell: 4.4

Cell: 3.9074 3.8366 3.8366 Å, 90.00 90.00 90.00°
Each line ends with the local moment (μB).
Fractional coordinates of all 4 atoms:
Sb1 0.5000 0.0000 0.0000  -0.01
Fe1 0.0000 0.0000 0.5000  2.37
Fe2 0.0000 0.5000 0.0000  2.37
V1 0.5000 0.5000 0.5000  -0.30

***

Record 9
Crystalline VFe3Sb at its relaxed geometry. Source: Alexandria via LeMat-Bulk, functional PBE-GGA.

Results
ΔE_f (raw), eV per atom: 0.949
Total magnetic moment, Bohr magnetons per cell: 4.6

Cell: 4.3453 4.3453 4.3453 Å, 90.00 90.00 90.00°
Each line ends with the local moment (μB).
Fractional coordinates of all 5 atoms:
Sb1 0.5000 0.5000 0.5000  0.01
Fe1 0.0000 0.5000 0.0000  1.96
Fe2 0.0000 0.0000 0.5000  1.96
Fe3 0.5000 0.0000 0.0000  1.96
V1 0.0000 0.0000 0.0000  -1.28

***

Record 10
Crystalline Fe3SbW at its relaxed geometry. Source: Alexandria via LeMat-Bulk, functional PBE-GGA.

Results
ΔE_f (raw), eV per atom: 1.408
Total magnetic moment, Bohr magnetons per cell: 5.1

Cell: 4.5535 4.5535 4.5535 Å, 90.00 90.00 90.00°
Each line ends with the local moment (μB).
Fractional coordinates of all 5 atoms:
Sb1 0.5000 0.5000 0.5000  -0.01
Fe1 0.0000 0.5000 0.0000  1.92
Fe2 0.0000 0.0000 0.5000  2.02
Fe3 0.5000 0.0000 0.0000  1.64
W1 0.0000 0.0000 0.0000  -0.50

***

Record 11
Crystalline FeSbW4 at its relaxed geometry. Source: Alexandria via LeMat-Bulk, functional PBE-GGA.

Results
ΔE_f (raw), eV per atom: 0.755
Total magnetic moment, Bohr magnetons per cell: 3.3

Cell: 5.3204 5.3204 5.3204 Å, 60.00 60.00 60.00°
Each line ends with the local moment (μB).
Fractional coordinates of all 6 atoms:
Fe1 0.7500 0.7500 0.7500  3.00
Sb1 0.0000 0.0000 0.0000  0.03
W1 0.8711 0.3763 0.3763  0.05
W2 0.3763 0.3763 0.8711  0.05
W3 0.3763 0.8711 0.3763  0.05
W4 0.3763 0.3763 0.3763  0.05

***

Record 12
Crystalline Fe2SbW at its relaxed geometry. Source: Alexandria via LeMat-Bulk, functional PBE-GGA.

Results
ΔE_f (raw), eV per atom: 0.397
Total magnetic moment, Bohr magnetons per cell: 0.0

Cell: 6.3169 4.4790 2.8850 Å, 89.98 62.86 123.94°
Fractional coordinates of all 4 atoms:
Fe1 0.0000 0.0000 0.0000
Fe2 0.5000 0.0000 0.5000
Sb1 0.0000 0.5000 0.5000
W1 0.5000 0.5000 0.0000

***

Record 13
Crystalline FeSbW2 at its relaxed geometry. Source: Alexandria via LeMat-Bulk, functional PBE-GGA.

Results
ΔE_f (raw), eV per atom: 0.537
Total magnetic moment, Bohr magnetons per cell: 2.2

Cell: 4.4962 4.4962 4.4962 Å, 60.00 60.00 60.00°
Each line ends with the local moment (μB).
Fractional coordinates of all 4 atoms:
Fe1 0.5000 0.5000 0.5000  2.00
Sb1 0.7500 0.7500 0.7500  -0.01
W1 0.0000 0.0000 0.0000  -0.07
W2 0.2500 0.2500 0.2500  0.27

***

Record 14
Crystalline Fe4SbW at its relaxed geometry. Source: Alexandria via LeMat-Bulk, functional PBE-GGA.

Results
ΔE_f (raw), eV per atom: 0.217
Total magnetic moment, Bohr magnetons per cell: 8.2

Cell: 4.8553 4.8553 4.8553 Å, 60.00 60.00 60.00°
Each line ends with the local moment (μB).
Fractional coordinates of all 6 atoms:
Fe1 0.6260 0.6260 0.1219  2.13
Fe2 0.6260 0.1219 0.6260  2.13
Fe3 0.6260 0.6260 0.6260  2.13
Fe4 0.1219 0.6260 0.6260  2.13
Sb1 0.2500 0.2500 0.2500  0.02
W1 0.0000 0.0000 0.0000  -0.28

***

Record 15
Crystalline FeSbW2 at its relaxed geometry. Source: Alexandria via LeMat-Bulk, functional PBE-GGA.

Results
ΔE_f (raw), eV per atom: 0.541
Total magnetic moment, Bohr magnetons per cell: 1.8

Cell: 4.2462 2.8931 5.9684 Å, 63.92 90.00 90.00°
Each line ends with the local moment (μB).
Fractional coordinates of all 4 atoms:
Fe1 0.5000 0.2500 0.2500  2.00
Sb1 0.5000 0.7500 0.7500  -0.01
W1 0.0000 0.0984 0.0265  -0.08
W2 0.0000 0.4016 0.4735  -0.08

***

Record 16
Crystalline FeSbW2 at its relaxed geometry. Source: Alexandria via LeMat-Bulk, functional PBE-GGA.

Results
ΔE_f (raw), eV per atom: 0.532
Total magnetic moment, Bohr magnetons per cell: 1.5

Cell: 8.4101 8.4101 8.4101 Å, 21.15 21.15 21.15°
Each line ends with the local moment (μB).
Fractional coordinates of all 4 atoms:
Fe1 0.5056 0.5056 0.5056  1.75
Sb1 0.7535 0.7535 0.7535  -0.03
W1 0.9940 0.9940 0.9940  -0.02
W2 0.2469 0.2469 0.2469  -0.15

***

Record 17
Crystalline Fe2Sb2W at its relaxed geometry. Source: Alexandria via LeMat-Bulk, functional PBE-GGA.

Results
ΔE_f (raw), eV per atom: 1.076
Total magnetic moment, Bohr magnetons per cell: 1.5

Cell: 4.0047 4.0047 6.0898 Å, 70.80 70.80 90.00°
Each line ends with the local moment (μB).
Fractional coordinates of all 5 atoms:
Sb1 0.7500 0.2500 0.5000  0.00
Sb2 0.2500 0.7500 0.5000  0.00
Fe1 0.3992 0.3992 0.2016  0.09
Fe2 0.6008 0.6008 0.7984  0.09
W1 0.0000 0.0000 0.0000  1.00

***

Record 18
Crystalline Fe2SbW at its relaxed geometry. Source: Alexandria via LeMat-Bulk, functional PBE-GGA.

Results
ΔE_f (raw), eV per atom: 0.425
Total magnetic moment, Bohr magnetons per cell: 4.4

Cell: 4.4025 4.4025 4.4025 Å, 60.00 60.00 60.00°
Each line ends with the local moment (μB).
Fractional coordinates of all 4 atoms:
Fe1 0.0000 0.0000 0.0000  2.55
Fe2 0.2500 0.2500 0.2500  2.01
Sb1 0.5000 0.5000 0.5000  0.04
W1 0.7500 0.7500 0.7500  -0.17

***

Record 19
Crystalline FeSbW3 at its relaxed geometry. Source: Alexandria via LeMat-Bulk, functional PBE-GGA.

Results
ΔE_f (raw), eV per atom: 1.316
Total magnetic moment, Bohr magnetons per cell: 0.0

Cell: 4.5202 4.5202 4.5202 Å, 90.00 90.00 90.00°
Fractional coordinates of all 5 atoms:
Sb1 0.5000 0.5000 0.5000
Fe1 0.0000 0.0000 0.0000
W1 0.0000 0.5000 0.0000
W2 0.0000 0.0000 0.5000
W3 0.5000 0.0000 0.0000

***

Record 20
Crystalline FeSb3W at its relaxed geometry. Source: Alexandria via LeMat-Bulk, functional PBE-GGA.

Results
ΔE_f (raw), eV per atom: 1.155
Total magnetic moment, Bohr magnetons per cell: 3.4

Cell: 5.2410 5.2410 5.2410 Å, 90.00 90.00 90.00°
Each line ends with the local moment (μB).
Fractional coordinates of all 5 atoms:
Sb1 0.0000 0.5000 0.0000  -0.04
Sb2 0.0000 0.0000 0.5000  -0.01
Sb3 0.5000 0.0000 0.0000  -0.03
Fe1 0.5000 0.5000 0.5000  3.26
W1 0.0000 0.0000 0.0000  0.04

***

Record 21
Crystalline Fe2SbW at its relaxed geometry. Source: Alexandria via LeMat-Bulk, functional PBE-GGA.

Results
ΔE_f (raw), eV per atom: 0.351
Total magnetic moment, Bohr magnetons per cell: 3.3

Cell: 5.0601 5.0601 5.0601 Å, 143.37 130.26 63.33°
Each line ends with the local moment (μB).
Fractional coordinates of all 4 atoms:
Fe1 0.9900 0.9900 0.0000  1.44
Fe2 0.7558 0.2558 0.5000  2.01
Sb1 0.5098 0.5098 0.0000  -0.01
W1 0.2444 0.7444 0.5000  -0.10

***

Record 22
Crystalline FeSbW2 at its relaxed geometry. Source: Alexandria via LeMat-Bulk, functional PBE-GGA.

Results
ΔE_f (raw), eV per atom: 0.607
Total magnetic moment, Bohr magnetons per cell: 2.3

Cell: 4.5410 4.5410 3.1427 Å, 90.00 90.00 90.00°
Each line ends with the local moment (μB).
Fractional coordinates of all 4 atoms:
Fe1 0.5000 0.0000 0.5000  2.40
Sb1 0.0000 0.5000 0.5000  0.03
W1 0.0000 0.0000 0.0000  -0.08
W2 0.5000 0.5000 0.0000  -0.08

***

Record 23
Crystalline FeSbW2 at its relaxed geometry. Source: Alexandria via LeMat-Bulk, functional PBE-GGA.

Results
ΔE_f (raw), eV per atom: 0.656
Total magnetic moment, Bohr magnetons per cell: 1.4

Cell: 9.0264 9.0264 9.0264 Å, 18.70 18.70 18.70°
Each line ends with the local moment (μB).
Fractional coordinates of all 4 atoms:
Fe1 0.2500 0.2500 0.2500  1.71
Sb1 0.7500 0.7500 0.7500  0.00
W1 0.9924 0.9924 0.9924  -0.14
W2 0.5076 0.5076 0.5076  -0.14

***

Record 24
Crystalline Fe2SbW at its relaxed geometry. Source: Alexandria via LeMat-Bulk, functional PBE-GGA.

Results
ΔE_f (raw), eV per atom: 0.318
Total magnetic moment, Bohr magnetons per cell: 2.8

Cell: 4.3178 4.3178 4.3178 Å, 60.00 60.00 60.00°
Each line ends with the local moment (μB).
Fractional coordinates of all 4 atoms:
Sb1 0.0000 0.0000 0.0000  -0.01
Fe1 0.2500 0.2500 0.2500  1.38
Fe2 0.7500 0.7500 0.7500  1.38
W1 0.5000 0.5000 0.5000  0.07

***

Record 25
Crystalline Fe2SbW at its relaxed geometry. Source: Alexandria via LeMat-Bulk, functional PBE-GGA.

Results
ΔE_f (raw), eV per atom: 0.353
Total magnetic moment, Bohr magnetons per cell: 2.9

Cell: 4.2756 4.2758 3.1530 Å, 90.00 90.00 90.00°
Each line ends with the local moment (μB).
Fractional coordinates of all 4 atoms:
Fe1 0.0000 0.0000 0.0000  1.41
Fe2 0.5000 0.5000 0.0000  1.41
Sb1 0.5000 0.0000 0.5000  -0.02
W1 0.0000 0.5000 0.5000  0.09

***

Record 26
Crystalline Fe2SbW at its relaxed geometry. Source: Alexandria via LeMat-Bulk, functional PBE-GGA.

Results
ΔE_f (raw), eV per atom: 0.296
Total magnetic moment, Bohr magnetons per cell: 2.8

Cell: 3.1381 3.1410 5.9371 Å, 90.00 90.00 90.00°
Each line ends with the local moment (μB).
Fractional coordinates of all 4 atoms:
Fe1 0.0000 0.0000 0.9853  1.42
Fe2 0.0000 0.0000 0.5147  1.42
Sb1 0.5000 0.5000 0.2500  0.00
W1 0.5000 0.5000 0.7500  -0.01

***

Record 27
Crystalline Fe2SbW at its relaxed geometry. Source: Alexandria via LeMat-Bulk, functional PBE-GGA.

Results
ΔE_f (raw), eV per atom: 0.433
Total magnetic moment, Bohr magnetons per cell: 3.8

Cell: 4.2245 2.8596 5.1108 Å, 83.28 90.00 90.00°
Each line ends with the local moment (μB).
Fractional coordinates of all 4 atoms:
Fe1 0.0000 0.0451 0.0103  2.20
Fe2 0.5000 0.3397 0.2177  1.94
Sb1 0.0000 0.3496 0.4972  -0.03
W1 0.5000 0.7656 0.7749  -0.21

***

Record 28
Crystalline FeSbW2 at its relaxed geometry. Source: Alexandria via LeMat-Bulk, functional PBE-GGA.

Results
ΔE_f (raw), eV per atom: 0.512
Total magnetic moment, Bohr magnetons per cell: 2.4

Cell: 4.8553 4.8553 4.8553 Å, 130.54 130.54 72.54°
Each line ends with the local moment (μB).
Fractional coordinates of all 4 atoms:
Fe1 0.5000 0.5000 0.0000  2.21
Sb1 0.7500 0.2500 0.5000  -0.01
W1 0.0000 0.0000 0.0000  0.15
W2 0.2500 0.7500 0.5000  0.04

***

Record 29
Crystalline FeSb2W at its relaxed geometry. Source: Alexandria via LeMat-Bulk, functional PBE-GGA.

Results
ΔE_f (raw), eV per atom: 0.634
Total magnetic moment, Bohr magnetons per cell: 2.1

Cell: 4.5963 4.5963 5.3721 Å, 80.22 80.22 41.75°
Each line ends with the local moment (μB).
Fractional coordinates of all 4 atoms:
Fe1 0.7500 0.7500 0.7500  2.22
Sb1 0.9953 0.9953 0.9996  -0.02
Sb2 0.5047 0.5047 0.5004  -0.02
W1 0.2500 0.2500 0.2500  -0.01

***

Record 30
Crystalline FeSb2W at its relaxed geometry. Source: Alexandria via LeMat-Bulk, functional PBE-GGA.

Results
ΔE_f (raw), eV per atom: 0.487
Total magnetic moment, Bohr magnetons per cell: 1.2

Cell: 6.6511 6.6511 6.6511 Å, 154.03 143.46 45.38°
Each line ends with the local moment (μB).
Fractional coordinates of all 4 atoms:
Fe1 0.7556 0.2556 0.5000  1.29
Sb1 0.9515 0.9515 0.0000  0.00
Sb2 0.2209 0.7209 0.5000  -0.01
W1 0.5720 0.5720 0.0000  -0.06